# TcAs2Os meta-GGA SCAN single point on PBEsol structure
# Calculated density, g/cm3: 11.962
# Energy relative to the elements, meV/atom: 549
# E above lowest polymorph, meV per atom: 459
data_TcAs2Os
_cell_length_a 2.971
_cell_length_b 4.001
_cell_length_c 5.116
_cell_angle_alpha 90.00
_cell_angle_beta 90.00
_cell_angle_gamma 90.00
_space_group_name_H-M_alt 'P m m m'
_space_group_IT_number 47
loop_
_space_group_symop_operation_xyz
'x,y,z'
'-x,-y,-z'
'-x,-y,z'
'x,y,-z'
'x,-y,-z'
'-x,y,z'
'-x,y,-z'
'x,-y,z'
loop_
_atom_site_label
_atom_site_fract_x
_atom_site_fract_y
_atom_site_fract_z
Tc1 0.000 0.000 0.000
As1 0.000 0.500 0.500
As2 0.500 0.500 0.000
Os1 0.500 0.000 0.500

***

# La3Mn meta-GGA SCAN single point on PBEsol structure
# Calculated density, g/cm3: 6.745
# Energy relative to the elements, meV/atom: 189
data_La3Mn
_cell_length_a 3.5068
_cell_length_b 3.5068
_cell_length_c 10.9028
_cell_angle_alpha 90.00
_cell_angle_beta 90.00
_cell_angle_gamma 120.00
_space_group_name_H-M_alt 'P -6 m 2'
_space_group_IT_number 187
_space_group_name_Hall 'P -6 2'
loop_
_atom_site_label
_atom_site_fract_x
_atom_site_fract_y
_atom_site_fract_z
La1 0.0000 0.0000 0.0000
La2 0.6667 0.3333 0.2872
Mn1 0.0000 0.0000 0.5000

***

# Sc2ZnO meta-GGA SCAN single point on PBEsol structure
# Formation energy (no corrections), eV/atom: -0.57
# Calculated density, g/cm3: 4.612
data_Sc2ZnO
_cell_length_a 6.272
_cell_length_b 6.272
_cell_length_c 6.272
_cell_angle_alpha 90.00
_cell_angle_beta 90.00
_cell_angle_gamma 90.00
_space_group_name_H-M_alt 'F m -3 m'
_space_group_IT_number 225
_space_group_name_Hall '-F 4 2 3'
loop_
_atom_site_label
_atom_site_fract_x
_atom_site_fract_y
_atom_site_fract_z
Sc1 0.250 0.250 0.250
Zn1 0.000 0.000 0.000
O1 0.000 0.000 0.500

***

# LiYCo4 meta-GGA SCAN single point on PBEsol structure
# Calculated density, g/cm3: 6.901
# Energy relative to the elements, meV/atom: -8
data_LiYCo4
_cell_length_a 6.834
_cell_length_b 6.834
_cell_length_c 6.834
_cell_angle_alpha 90.00
_cell_angle_beta 90.00
_cell_angle_gamma 90.00
_space_group_name_H-M_alt 'F -4 3 m'
_space_group_IT_number 216
_space_group_name_Hall 'F -4 2 3'
loop_
_atom_site_label
_atom_site_fract_x
_atom_site_fract_y
_atom_site_fract_z
Li1 0.000 0.000 0.000
Y1 0.250 0.250 0.250
Co1 0.126 0.126 0.626

***

# LiCd meta-GGA SCAN single point on PBEsol structure
# Calculated density, g/cm3: 5.308
# Energy relative to the elements, meV/atom: -191
data_LiCd
_cell_length_a 3.0213
_cell_length_b 3.0213
_cell_length_c 4.7229
_cell_angle_alpha 90.00
_cell_angle_beta 90.00
_cell_angle_gamma 120.00
_space_group_name_H-M_alt 'P -6 m 2'
_space_group_IT_number 187
_space_group_name_Hall 'P -6 2'
loop_
_atom_site_label
_atom_site_fract_x
_atom_site_fract_y
_atom_site_fract_z
Li1 0.0000 0.0000 0.0000
Cd1 0.6667 0.3333 0.5000

***

# Li3FeO4 meta-GGA SCAN single point on PBEsol structure
# Formation energy (no corrections), eV/atom: -1.87
# Calculated density, g/cm3: 3.692
# E above lowest polymorph, meV per atom: 62
data_Li3FeO4
_cell_length_a 5.815
_cell_length_b 7.882
_cell_length_c 2.761
_cell_angle_alpha 90.00
_cell_angle_beta 90.00
_cell_angle_gamma 90.00
_space_group_name_H-M_alt 'C m m m'
_space_group_IT_number 65
_space_group_name_Hall '-C 2 2'
loop_
_atom_site_label
_atom_site_fract_x
_atom_site_fract_y
_atom_site_fract_z
Li1 0.000 0.000 0.000
Li2 0.250 0.250 0.500
Fe1 0.000 0.500 0.000
O1 0.000 0.272 0.000
O2 0.223 0.500 0.500